No. 1
The following is a DFT calculation (PBE-GGA) of a relaxed ErV2Ga8 crystal.

Unit cell a=6.7842 b=6.7842 c=5.0586 alpha=98.36 beta=98.36 gamma=115.51
Last column: nearest neighbours and their distance in Å.
Fractional coordinates of all 11 atoms:
Er: 0.0000 0.0000 0.0000  8 Ga 2.92-3.10
V: 0.2878 0.7122 0.5000  8 Ga 2.53-2.76
V: 0.7122 0.2878 0.5000  8 Ga 2.53-2.76
Ga: 0.1025 0.3225 0.6174  2 Ga 2.52-2.79, 2 V 2.53-2.59
Ga: 0.2705 0.7295 0.0000  2 V 2.54, 2 Ga 2.79
Ga: 0.3225 0.1025 0.6174  2 Ga 2.52-2.79, 2 V 2.53-2.59
Ga: 0.4152 0.4152 0.2368  3 Ga 2.61-2.88, 2 V 2.76, 1 Er 2.92
Ga: 0.5848 0.5848 0.7632  3 Ga 2.61-2.88, 2 V 2.76, 1 Er 2.92
Ga: 0.6775 0.8975 0.3826  2 Ga 2.52-2.79, 2 V 2.53-2.59
Ga: 0.7295 0.2705 0.0000  2 V 2.54, 2 Ga 2.79
Ga: 0.8975 0.6775 0.3826  2 Ga 2.52-2.79, 2 V 2.53-2.59

Output
Symmetry: No. 12
E_tot (eV per cell): -47.646

No. 2
The following is a DFT calculation (PBE-GGA) of a relaxed Er3Ga2Au6 crystal.

Unit cell a=15.2517 b=15.2517 c=15.2517 alpha=165.08 beta=165.08 gamma=21.16
Last column: nearest neighbours and their distance in Å.
Fractional coordinates of all 11 atoms:
Er: 0.0000 0.0000 0.0000  8 Au 3.01
Er: 0.1774 0.1774 0.0000  5 Au 2.95-3.13, 4 Ga 3.07
Er: 0.8226 0.8226 0.0000  5 Au 2.95-3.13, 4 Ga 3.07
Ga: 0.3643 0.3643 0.0000  5 Au 2.66-2.68
Ga: 0.6357 0.6357 0.0000  5 Au 2.66-2.68
Au: 0.0756 0.5756 0.5000  2 Ga 2.68, 4 Au 2.80
Au: 0.2757 0.2757 0.0000  1 Ga 2.66, 1 Er 2.95
Au: 0.4244 0.9244 0.5000  2 Ga 2.68, 4 Au 2.80
Au: 0.5756 0.0756 0.5000  2 Ga 2.68, 4 Au 2.80
Au: 0.7243 0.7243 0.0000  1 Ga 2.66, 1 Er 2.95
Au: 0.9244 0.4244 0.5000  2 Ga 2.68, 4 Au 2.80

Output
Symmetry: No. 139
E_tot (eV per cell): -45.331

No. 3
The following is a DFT calculation (PBE-GGA) of a relaxed YTlCo2Pb crystal.

Unit cell a=4.8433 b=4.8433 c=5.6362 alpha=90.00 beta=90.00 gamma=90.00
Last column: nearest neighbours and their distance in Å.
Fractional coordinates of all 5 atoms:
Y: 0.0000 0.0000 0.0000  4 Tl 3.42, 8 Co 3.72
Tl: 0.5000 0.5000 0.0000  2 Pb 2.82
Co: 0.0000 0.5000 0.5000  2 Pb 2.42
Co: 0.5000 0.0000 0.5000  2 Pb 2.42
Pb: 0.5000 0.5000 0.5000  4 Co 2.42

Output
ΔE to the lowest computed polymorph (eV per formula unit): 0.00
Symmetry: No. 123
E_tot (eV per cell): -22.005